Sc2WN GGA-PBE optimized geometry; uncorrected formation energy = 0.190 eV/atom; mass density = 6.44 g/cm³; space group = I-42d
1.0
-3.095 3.095 3.874
3.095 -3.095 3.874
3.095 3.095 -3.874
Sc W N
4 2 2
Direct
0.019 0.125 0.394
0.375 0.981 0.106
0.731 0.625 0.606
0.875 0.269 0.894
0.250 0.750 0.500
0.500 0.500 0.000
0.000 0.000 0.000
0.750 0.250 0.500

---

Al3NiC GGA-PBE optimized geometry; ΔE to the lowest computed polymorph = 4.34 eV per formula unit; mass density = 2.99 g/cm³; space group = Pm-3m; energy of formation from the pure elements = 1030.0 meV/atom
1.0
4.381 0.000 0.000
0.000 4.381 0.000
0.000 0.000 4.381
Al Ni C
3 1 1
Direct
0.000 0.000 0.500
0.000 0.500 0.000
0.500 0.000 0.000
0.000 0.000 0.000
0.500 0.500 0.500